A geometry-optimized In2ReF structure, computed with PBE.

a = 6.788 Å, b = 6.788 Å, c = 6.546 Å
α = 90.00°, β = 90.00°, γ = 90.00°
Space group I-42d (No. 122)
Symmetry-distinct sites (fractional):
1 In 0.206 0.250 0.125 (multiplicity 8)
2 Re 0.000 0.000 0.500 (multiplicity 4)
3 F 0.000 0.000 0.000 (multiplicity 4)

- VASP energy: -4.8468 eV per atom
- Formation energy from raw total energies: 102 meV/atom
- Offset from the most stable computed form: 0.00 kJ/mol of atoms